Entry 1:
AcFe2Si2 | PBE | relaxed

Calculated values
- Total magnetic moment: 0.0 Bohr magnetons per cell
- Uncorrected formation energy: -530 meV/atom

Cell lengths 4.095, 4.095, 10.386 Å; angles 90.00, 90.00, 90.00 degrees
Space group I4/mmm (No. 139)
One atom of each set of equivalent atoms:
Ac (0.000, 0.000, 0.000)
Fe (0.000, 0.500, 0.250)
Si (0.000, 0.000, 0.347)


Entry 2:
AcFe4Si4 | PBE | relaxed

Calculated values
- Total magnetic moment: 0.0 Bohr magnetons per cell
- Uncorrected formation energy: -484 meV/atom

Cell lengths 8.067, 8.067, 4.062 Å; angles 90.00, 90.00, 90.00 degrees
Space group I4/m (No. 87)
One atom of each set of equivalent atoms:
Ac (0.000, 0.000, 0.000)
Fe (0.093, 0.618, 0.500)
Si (0.167, 0.283, 0.500)


Entry 3:
AcFeSi3 | PBE | relaxed

Calculated values
- Total magnetic moment: 0.0 Bohr magnetons per cell
- Energy above the lowest structure with this stoichiometry: 0.0 meV/atom
- Uncorrected formation energy: -477 meV/atom

Cell lengths 4.278, 4.278, 9.853 Å; angles 90.00, 90.00, 90.00 degrees
Space group I4mm (No. 107)
One atom of each set of equivalent atoms:
Ac (0.000, 0.000, 0.000)
Fe (0.000, 0.000, 0.345)
Si (0.000, 0.000, 0.581)
Si (0.000, 0.500, 0.247)


Entry 4:
AcFeSi2Tc | PBE | relaxed

Calculated values
- Total magnetic moment: 2.2 Bohr magnetons per cell
- Uncorrected formation energy: -518 meV/atom

Cell lengths 4.203, 4.203, 10.554 Å; angles 90.00, 90.00, 90.00 degrees
Space group I-4m2 (No. 119)
One atom of each set of equivalent atoms:
Ac (0.000, 0.000, 0.000)
Fe (0.000, 0.500, 0.250)
Si (0.000, 0.000, 0.357)
Tc (0.000, 0.500, 0.750)


Entry 5:
Ac2FeSi2Tc | PBE | relaxed

Calculated values
- Total magnetic moment: 0.0 Bohr magnetons per cell
- Uncorrected formation energy: -473 meV/atom

Cell lengths 6.066, 14.990, 6.079 Å; angles 90.00, 90.00, 90.00 degrees
Space group Ibam (No. 72)
One atom of each set of equivalent atoms:
Ac (0.249, 0.153, 0.000)
Fe (0.000, 0.000, 0.250)
Si (0.237, 0.073, 0.500)
Tc (0.000, 0.500, 0.250)


Entry 6:
AcSmFe | PBE | relaxed

Calculated values
- Total magnetic moment: 0.0 Bohr magnetons per cell
- ΔE_f: 0.73 eV/f.u.

Cell lengths 12.471, 5.514, 5.537 Å; angles 90.00, 113.24, 90.00 degrees
Space group C2/m (No. 12)
One atom of each set of equivalent atoms:
Ac (0.131, 0.000, 0.397)
Sm (0.122, 0.500, 0.900)
Fe (0.103, 0.500, 0.405)


Entry 7:
Ac3FeSn | PBE | relaxed

Calculated values
- Total magnetic moment: 0.2 Bohr magnetons per cell
- ΔE_f: -1.08 eV/f.u.

Cell lengths 5.469, 5.469, 5.469 Å; angles 90.00, 90.00, 90.00 degrees
Space group Pm-3m (No. 221)
One atom of each set of equivalent atoms:
Ac (0.000, 0.000, 0.500)
Fe (0.000, 0.000, 0.000)
Sn (0.500, 0.500, 0.500)


Entry 8:
Ac4FeSn2 | PBE | relaxed

Calculated values
- Total magnetic moment: 0.0 Bohr magnetons per cell
- ΔE_f: -2.22 eV/f.u.

Cell lengths 5.248, 5.248, 17.925 Å; angles 90.00, 90.00, 90.00 degrees
Space group I4/mmm (No. 139)
One atom of each set of equivalent atoms:
Ac (0.000, 0.000, 0.173)
Ac (0.000, 0.500, 0.000)
Fe (0.000, 0.000, 0.000)
Sn (0.000, 0.000, 0.361)